Entry P
{
  "formula": "Pm2Ag",
  "functional": "PBE",
  "state": "optimized geometry",
  "n_ef_per_ev_fu": 3.7,
  "lattice": [[3.712, 0.000, 0.000], [0.000, 3.712, 0.000], [0.000, 0.000, 12.603]],
  "species": ["Pm", "Ag", "Ag", "Pm", "Pm", "Pm"],
  "frac_coords": [[0.500, 0.500, 0.703], [0.000, 0.000, 0.149], [0.000, 0.000, 0.851], [0.500, 0.500, 0.297], [0.500, 0.500, 0.000], [0.000, 0.000, 0.500]]
}

Entry Q
{
  "formula": "Pm2Ag",
  "functional": "PBE",
  "state": "optimized geometry",
  "n_ef_per_ev_fu": 2.5,
  "lattice": [[3.736, 0.000, -0.002], [-1.867, 5.826, 0.464], [-0.005, -0.305, 8.199]],
  "species": ["Pm", "Pm", "Ag", "Pm", "Pm", "Ag"],
  "frac_coords": [[0.134, 0.273, 0.430], [0.417, 0.841, 0.201], [0.289, 0.582, 0.871], [0.860, 0.724, 0.572], [0.577, 0.156, 0.801], [0.704, 0.416, 0.131]]
}

Entry R
{
  "formula": "Pm2Ag",
  "functional": "PBE",
  "state": "optimized geometry",
  "n_ef_per_ev_fu": 4.0,
  "lattice": [[-0.918, -3.252, -1.548], [2.055, 0.834, -2.983], [4.466, -1.503, 4.974]],
  "species": ["Pm", "Pm", "Ag"],
  "frac_coords": [[0.852, 0.852, 0.703], [0.148, 0.148, 0.297], [0.500, 0.500, 0.000]]
}

Of them, the most stable is entry P and the least stable is entry Q.

Entry P
{
  "formula": "PmPr6Ag2",
  "functional": "PBE",
  "state": "optimized geometry",
  "n_ef_per_ev_fu": 11.2,
  "lattice": [[-1.280, -3.009, -5.373], [-6.509, -5.938, 4.228], [-8.790, 4.177, -0.894]],
  "species": ["Ag", "Ag", "Pr", "Pm", "Pr", "Ag", "Pr", "Pr", "Pm", "Pr", "Pr", "Pr", "Ag", "Pr", "Pr", "Pr", "Pr", "Pr"],
  "frac_coords": [[0.903, 0.794, 0.538], [0.597, 0.462, 0.206], [0.311, 0.728, 0.040], [0.250, 0.102, 0.898], [0.671, 0.105, 0.349], [0.403, 0.538, 0.794], [0.189, 0.960, 0.272], [0.171, 0.349, 0.105], [0.750, 0.898, 0.102], [0.811, 0.040, 0.728], [0.999, 0.560, 0.322], [0.499, 0.322, 0.560], [0.097, 0.206, 0.462], [0.689, 0.272, 0.960], [0.329, 0.895, 0.651], [0.501, 0.678, 0.440], [0.001, 0.440, 0.678], [0.829, 0.651, 0.895]]
}

Entry Q
{
  "formula": "PmPr6Ag2",
  "functional": "PBE",
  "state": "optimized geometry",
  "n_ef_per_ev_fu": 11.6,
  "lattice": [[-2.909, -1.627, 1.833], [1.576, -6.538, 0.645], [4.933, -0.876, 10.999]],
  "species": ["Pm", "Pr", "Pr", "Pr", "Pr", "Pr", "Ag", "Ag", "Pr"],
  "frac_coords": [[0.000, 0.000, 0.000], [0.975, 0.717, 0.333], [0.685, 0.507, 0.123], [0.313, 0.785, 0.590], [0.687, 0.215, 0.410], [0.025, 0.283, 0.667], [0.355, 0.093, 0.196], [0.645, 0.907, 0.804], [0.315, 0.493, 0.877]]
}

Of them, the most stable is entry Q and the least stable is entry P.

Entry P
{
  "formula": "PmPr2Ag",
  "functional": "PBE",
  "state": "optimized geometry",
  "n_ef_per_ev_fu": 5.0,
  "lattice": [[-2.751, -1.935, -1.586], [0.758, -2.426, -2.715], [0.601, -9.254, 5.889]],
  "species": ["Pr", "Pr", "Pm", "Ag"],
  "frac_coords": [[0.259, 0.259, 0.222], [0.074, 0.074, 0.778], [0.499, 0.499, 0.502], [0.667, 0.667, 0.999]]
}

Entry Q
{
  "formula": "PmPr2Ag",
  "functional": "PBE",
  "state": "optimized geometry",
  "n_ef_per_ev_fu": 7.0,
  "lattice": [[5.564, 0.000, 0.000], [2.782, 4.819, 0.000], [2.782, 1.606, 4.543]],
  "species": ["Pr", "Pm", "Pr", "Ag"],
  "frac_coords": [[0.250, 0.250, 0.250], [0.000, 0.000, 0.000], [0.750, 0.750, 0.750], [0.500, 0.500, 0.500]]
}

Of them, the most stable is entry P and the least stable is entry Q.

Entry P
{
  "formula": "PmPr2Ag",
  "functional": "PBE",
  "state": "optimized geometry",
  "n_ef_per_ev_fu": 6.4,
  "lattice": [[3.748, 0.000, 0.000], [0.000, 3.748, 0.000], [0.000, 0.000, 8.915]],
  "species": ["Pr", "Ag", "Pr", "Pm"],
  "frac_coords": [[0.000, 0.000, 0.784], [0.500, 0.500, 0.000], [0.000, 0.000, 0.216], [0.500, 0.500, 0.500]]
}

Entry Q
{
  "formula": "PmPr2Ag",
  "functional": "PBE",
  "state": "optimized geometry",
  "n_ef_per_ev_fu": 4.8,
  "lattice": [[-2.323, 0.224, -4.515], [-1.988, -5.137, 3.629], [-5.930, 4.613, 3.280]],
  "species": ["Pm", "Pm", "Pr", "Pr", "Pr", "Ag", "Ag", "Pr"],
  "frac_coords": [[0.053, 0.105, 0.750], [0.947, 0.895, 0.250], [0.361, 0.722, 0.533], [0.639, 0.278, 0.033], [0.361, 0.722, 0.967], [0.204, 0.407, 0.250], [0.796, 0.593, 0.750], [0.639, 0.278, 0.467]]
}

Of them, the most stable is entry P and the least stable is entry Q.

Entry P
{
  "formula": "Pm2PrAg2",
  "functional": "PBE",
  "state": "optimized geometry",
  "n_ef_per_ev_fu": 5.7,
  "lattice": [[5.001, 0.000, 0.000], [0.000, 5.331, 0.011], [0.000, -1.289, 11.398]],
  "species": ["Pr", "Ag", "Ag", "Pm", "Ag", "Pm", "Ag", "Pm", "Pm", "Pr"],
  "frac_coords": [[0.250, 0.700, 0.246], [0.750, 0.219, 0.365], [0.250, 0.781, 0.635], [0.250, 0.251, 0.509], [0.750, 0.637, 0.003], [0.750, 0.749, 0.491], [0.250, 0.363, 0.997], [0.750, 0.159, 0.114], [0.250, 0.841, 0.886], [0.750, 0.300, 0.754]]
}

Entry Q
{
  "formula": "Pm2PrAg2",
  "functional": "PBE",
  "state": "optimized geometry",
  "n_ef_per_ev_fu": 4.9,
  "lattice": [[-1.534, 2.459, 2.372], [-1.717, -4.092, 3.131], [12.594, -0.724, 5.960]],
  "species": ["Pr", "Ag", "Pm", "Ag", "Pm", "Ag", "Pr", "Ag", "Pm", "Pm"],
  "frac_coords": [[0.855, 0.750, 0.710], [0.642, 0.750, 0.284], [0.235, 0.750, 0.469], [0.545, 0.250, 0.092], [0.765, 0.250, 0.531], [0.358, 0.250, 0.716], [0.145, 0.250, 0.290], [0.455, 0.750, 0.908], [0.952, 0.250, 0.904], [0.048, 0.750, 0.096]]
}

Of them, the most stable is entry Q and the least stable is entry P.

Entry P
{
  "formula": "Pm2PrAg6",
  "functional": "PBE",
  "state": "optimized geometry",
  "n_ef_per_ev_fu": 7.0,
  "lattice": [[3.573, 0.000, 0.000], [0.000, 7.215, -4.166], [0.000, 0.000, 8.331]],
  "species": ["Ag", "Ag", "Ag", "Ag", "Ag", "Ag", "Pm", "Pm", "Pr"],
  "frac_coords": [[0.500, 0.334, 0.334], [0.500, 0.666, 0.666], [0.500, 0.666, 0.000], [0.500, 0.000, 0.666], [0.500, 0.334, 0.000], [0.500, 0.000, 0.334], [0.000, 0.667, 0.333], [0.000, 0.333, 0.667], [0.000, 0.000, 0.000]]
}

Entry Q
{
  "formula": "Pm2PrAg6",
  "functional": "PBE",
  "state": "optimized geometry",
  "n_ef_per_ev_fu": 7.7,
  "lattice": [[-2.251, 2.219, 1.768], [-7.737, -2.471, -3.039], [-5.295, -5.592, 3.987]],
  "species": ["Pm", "Ag", "Pr", "Ag", "Ag", "Ag", "Ag", "Pm", "Ag"],
  "frac_coords": [[0.358, 0.142, 0.142], [0.000, 0.821, 0.179], [0.500, 0.500, 0.500], [0.825, 0.496, 0.855], [0.175, 0.504, 0.145], [0.175, 0.145, 0.504], [0.000, 0.179, 0.821], [0.642, 0.858, 0.858], [0.825, 0.855, 0.496]]
}

Of them, the most stable is entry P and the least stable is entry Q.

Entry P
{
  "formula": "PmPr4Ag",
  "functional": "PBE",
  "state": "optimized geometry",
  "n_ef_per_ev_fu": 7.8,
  "lattice": [[5.546, 0.000, 0.000], [0.000, 6.644, 0.000], [-2.773, 0.000, 10.958]],
  "species": ["Pr", "Pr", "Pr", "Ag", "Pr", "Ag", "Pm", "Pr", "Pr", "Pr", "Pr", "Pm"],
  "frac_coords": [[0.750, 0.114, 0.499], [0.250, 0.614, 0.501], [0.934, 0.206, 0.869], [0.612, 0.987, 0.225], [0.336, 0.057, 0.671], [0.388, 0.487, 0.775], [0.133, 0.210, 0.266], [0.474, 0.860, 0.947], [0.526, 0.360, 0.053], [0.066, 0.706, 0.131], [0.664, 0.557, 0.329], [0.867, 0.710, 0.734]]
}

Entry Q
{
  "formula": "PmPr4Ag",
  "functional": "PBE",
  "state": "optimized geometry",
  "n_ef_per_ev_fu": 10.0,
  "lattice": [[-0.628, 3.182, 1.835], [-3.266, 0.368, -1.757], [-6.452, -7.304, 10.460]],
  "species": ["Pr", "Pm", "Pr", "Pr", "Ag", "Pr"],
  "frac_coords": [[0.000, 0.000, 0.364], [0.000, 0.000, 0.000], [0.000, 0.000, 0.636], [0.500, 0.500, 0.179], [0.500, 0.500, 0.500], [0.500, 0.500, 0.821]]
}

Of them, the most stable is entry Q and the least stable is entry P.

Entry P
{
  "formula": "PmPrAg2",
  "functional": "PBE",
  "state": "optimized geometry",
  "n_ef_per_ev_fu": 4.0,
  "lattice": [[3.980, 0.000, 0.000], [1.990, 3.446, 0.000], [1.990, 1.149, 8.527]],
  "species": ["Pr", "Ag", "Ag", "Pm"],
  "frac_coords": [[0.500, 0.500, 0.500], [0.252, 0.252, 0.245], [0.748, 0.748, 0.755], [0.000, 0.000, 0.000]]
}

Entry Q
{
  "formula": "PmPrAg2",
  "functional": "PBE",
  "state": "optimized geometry",
  "n_ef_per_ev_fu": 4.3,
  "lattice": [[-3.305, -1.241, -3.976], [0.110, -4.873, -2.125], [-4.033, -3.361, 0.845]],
  "species": ["Ag", "Ag", "Pm", "Pr"],
  "frac_coords": [[0.250, 0.250, 0.250], [0.750, 0.750, 0.750], [0.000, 0.000, 0.000], [0.500, 0.500, 0.500]]
}

Of them, the most stable is entry Q and the least stable is entry P.

Entry P
{
  "formula": "PmPr2Ag2",
  "functional": "PBE",
  "state": "optimized geometry",
  "n_ef_per_ev_fu": 6.5,
  "lattice": [[-0.006, -2.468, -4.090], [-0.719, -5.037, 3.040], [-10.430, 4.958, -2.978]],
  "species": ["Pr", "Ag", "Pm", "Pr", "Pr", "Ag", "Ag", "Pr", "Ag", "Pm"],
  "frac_coords": [[0.750, 0.712, 0.451], [0.750, 0.657, 0.028], [0.250, 0.807, 0.217], [0.250, 0.288, 0.549], [0.750, 0.226, 0.121], [0.750, 0.141, 0.360], [0.250, 0.859, 0.640], [0.250, 0.774, 0.879], [0.250, 0.343, 0.972], [0.750, 0.193, 0.783]]
}

Entry Q
{
  "formula": "PmPr2Ag2",
  "functional": "PBE",
  "state": "optimized geometry",
  "n_ef_per_ev_fu": 5.4,
  "lattice": [[3.737, 0.000, -0.499], [0.000, 5.440, 0.000], [-0.017, 0.000, 14.028]],
  "species": ["Pr", "Pr", "Ag", "Ag", "Pm", "Ag", "Pr", "Ag", "Pm", "Pr"],
  "frac_coords": [[0.765, 0.250, 0.532], [0.047, 0.750, 0.095], [0.642, 0.750, 0.283], [0.452, 0.750, 0.901], [0.855, 0.750, 0.710], [0.548, 0.250, 0.099], [0.235, 0.750, 0.468], [0.358, 0.250, 0.717], [0.145, 0.250, 0.290], [0.953, 0.250, 0.905]]
}

Of them, the most stable is entry Q and the least stable is entry P.

Entry P
{
  "formula": "PmPrScAg",
  "functional": "PBE",
  "state": "optimized geometry",
  "n_ef_per_ev_fu": 4.5,
  "lattice": [[-0.834, -0.735, 5.285], [-0.955, -4.957, 1.920], [3.731, -2.499, 3.001]],
  "species": ["Sc", "Pm", "Ag", "Pr"],
  "frac_coords": [[0.500, 0.500, 0.500], [0.750, 0.750, 0.750], [0.000, 0.000, 0.000], [0.250, 0.250, 0.250]]
}

Entry Q
{
  "formula": "PmPrScAg",
  "functional": "PBE",
  "state": "optimized geometry",
  "n_ef_per_ev_fu": 4.9,
  "lattice": [[-4.518, 2.802, 0.382], [-4.671, -2.309, -1.122], [-3.463, -1.048, 3.914]],
  "species": ["Pm", "Sc", "Pr", "Ag"],
  "frac_coords": [[0.750, 0.750, 0.750], [0.000, 0.000, 0.000], [0.500, 0.500, 0.500], [0.250, 0.250, 0.250]]
}

Of them, the most stable is entry P and the least stable is entry Q.

Entry P
{
  "formula": "PmPrZnAg",
  "functional": "PBE",
  "state": "optimized geometry",
  "n_ef_per_ev_fu": 3.7,
  "lattice": [[3.748, 0.000, 0.000], [0.000, 3.748, 0.000], [0.000, 0.000, 7.329]],
  "species": ["Pr", "Pm", "Ag", "Zn"],
  "frac_coords": [[0.000, 0.000, 0.848], [0.000, 0.000, 0.364], [0.500, 0.500, 0.115], [0.500, 0.500, 0.600]]
}

Entry Q
{
  "formula": "PmPrZnAg",
  "functional": "PBE",
  "state": "optimized geometry",
  "n_ef_per_ev_fu": 4.0,
  "lattice": [[5.273, 0.000, 0.000], [2.637, 4.567, 0.000], [2.637, 1.522, 4.306]],
  "species": ["Pr", "Pm", "Ag", "Zn"],
  "frac_coords": [[0.500, 0.500, 0.500], [0.000, 0.000, 0.000], [0.250, 0.250, 0.250], [0.750, 0.750, 0.750]]
}

Of them, the most stable is entry P and the least stable is entry Q.

Entry P
{
  "formula": "Pm2AgPt",
  "functional": "PBE",
  "state": "optimized geometry",
  "n_ef_per_ev_fu": 3.5,
  "lattice": [[-1.810, 3.158, 0.275], [-1.438, -1.100, 3.169], [5.682, 2.944, 3.600]],
  "species": ["Ag", "Pm", "Pm", "Pt"],
  "frac_coords": [[0.500, 0.500, 0.500], [0.000, 0.000, 0.234], [0.000, 0.000, 0.766], [0.500, 0.500, 0.000]]
}

Entry Q
{
  "formula": "Pm2AgPt",
  "functional": "PBE",
  "state": "optimized geometry",
  "n_ef_per_ev_fu": 3.0,
  "lattice": [[-0.649, -0.268, -4.655], [-1.610, -5.651, 0.550], [-6.159, 4.699, 0.589]],
  "species": ["Pm", "Ag", "Pm", "Ag", "Pm", "Pt", "Pm", "Pt"],
  "frac_coords": [[0.250, 0.786, 0.565], [0.750, 0.676, 0.791], [0.750, 0.238, 0.923], [0.250, 0.324, 0.209], [0.750, 0.214, 0.435], [0.750, 0.665, 0.293], [0.250, 0.762, 0.077], [0.250, 0.335, 0.707]]
}

Of them, the most stable is entry Q and the least stable is entry P.